Entry from the Alexandria database: a relaxed Ce3Ga6Ni2 crystal (PBE).

## Properties
Crystal system: tetragonal

Cell and atoms, written as CIF:
```
data_Ce3Ga6Ni2
_symmetry_space_group_name_H-M 'I 4/m m m'
_symmetry_Int_Tables_number 139
_symmetry_space_group_name_Hall '-I 4 2'
_cell_length_a 3.896
_cell_length_b 3.896
_cell_length_c 29.652
_cell_angle_alpha 90.00
_cell_angle_beta 90.00
_cell_angle_gamma 90.00
loop_
_atom_site_label
_atom_site_type_symbol
_atom_site_fract_x
_atom_site_fract_y
_atom_site_fract_z
Ce1 Ce 0.000 0.000 0.000
Ce2 Ce 0.000 0.000 0.168
Ga1 Ga 0.000 0.000 0.271
Ga2 Ga 0.000 0.500 0.083
Ni1 Ni 0.000 0.000 0.355
```

Entry from the Alexandria database: a relaxed Ce2GaNi16 crystal (PBE).

## Properties
Crystal system: trigonal

Cell and atoms, written as CIF:
```
data_Ce2GaNi16
_symmetry_space_group_name_H-M 'R 3 m'
_symmetry_Int_Tables_number 160
_symmetry_space_group_name_Hall 'R 3 -2"'
_cell_length_a 8.3067
_cell_length_b 8.3067
_cell_length_c 12.2210
_cell_angle_alpha 90.00
_cell_angle_beta 90.00
_cell_angle_gamma 120.00
loop_
_atom_site_label
_atom_site_type_symbol
_atom_site_fract_x
_atom_site_fract_y
_atom_site_fract_z
Ce1 Ce 0.0000 0.0000 0.0000
Ce2 Ce 0.0000 0.0000 0.3158
Ga1 Ga 0.0000 0.0000 0.7445
Ni1 Ni 0.0000 0.0000 0.5517
Ni2 Ni 0.0000 0.3001 0.6537
Ni3 Ni 0.1672 0.3344 0.1427
Ni4 Ni 0.1672 0.3344 0.8329
Ni5 Ni 0.1682 0.3363 0.4881
```

Entry from the Alexandria database: a relaxed Ce3Ga5Ni6 crystal (PBE).

## Properties
Crystal system: orthorhombic

Cell and atoms, written as CIF:
```
data_Ce3Ga5Ni6
_symmetry_space_group_name_H-M 'I m m m'
_symmetry_Int_Tables_number 71
_symmetry_space_group_name_Hall '-I 2 2'
_cell_length_a 4.292
_cell_length_b 8.781
_cell_length_c 12.167
_cell_angle_alpha 90.00
_cell_angle_beta 90.00
_cell_angle_gamma 90.00
loop_
_atom_site_label
_atom_site_type_symbol
_atom_site_fract_x
_atom_site_fract_y
_atom_site_fract_z
Ce1 Ce 0.000 0.000 0.000
Ce2 Ce 0.000 0.000 0.315
Ga1 Ga 0.000 0.345 0.325
Ga2 Ga 0.000 0.500 0.000
Ni1 Ni 0.000 0.197 0.500
Ni2 Ni 0.000 0.270 0.114
```

Entry from the Alexandria database: a relaxed CeGa3Ni crystal (PBE).

## Properties
Energy above the most stable polymorph in this dataset in meV/atom: 0
Crystal system: tetragonal

Cell and atoms, written as CIF:
```
data_CeGa3Ni
_symmetry_space_group_name_H-M 'I 4 m m'
_symmetry_Int_Tables_number 107
_symmetry_space_group_name_Hall 'I 4 -2'
_cell_length_a 4.231
_cell_length_b 4.231
_cell_length_c 10.177
_cell_angle_alpha 90.00
_cell_angle_beta 90.00
_cell_angle_gamma 90.00
loop_
_atom_site_label
_atom_site_type_symbol
_atom_site_fract_x
_atom_site_fract_y
_atom_site_fract_z
Ce1 Ce 0.000 0.000 0.000
Ga1 Ga 0.000 0.000 0.414
Ga2 Ga 0.000 0.500 0.251
Ni1 Ni 0.000 0.000 0.642
```

| no. | energy of formation from the pure elements (eV/atom) |
| --- | --- |
| 1 | -0.388 |
| 2 | -0.248 |
| 3 | -0.555 |
| 4 | -0.588 |